Entry 1:
GGA-PBE Pm2SiPd7, optimized geometry; raw formation energy = -0.3298 eV per atom
1.0
6.701 0.000 0.000
3.350 5.803 0.000
3.350 1.934 5.471
Pd Pm Si
7 2 1
direct
0.235 0.235 0.765
0.765 0.235 0.765
0.235 0.765 0.235
0.235 0.765 0.765
0.765 0.235 0.235
0.500 0.500 0.500
0.765 0.765 0.235
0.250 0.250 0.250
0.750 0.750 0.750
0.000 0.000 0.000



Entry 2:
GGA-PBE Y2ZrW, optimized geometry; energy above the most stable polymorph in this dataset = 0.257 eV/atom
1.0
-0.126 -2.972 -0.751
4.923 -0.357 0.588
-0.818 -1.472 5.960
Y Zr W
2 1 1
direct
0.000 0.000 0.987
0.000 0.000 0.513
0.500 0.500 0.250
0.500 0.500 0.750



Entry 3:
GGA-PBE PRuW, optimized geometry; VASP energy = -28.2 eV for the cell shown
1.0
-1.456 1.456 4.862
1.456 -1.456 4.862
1.456 1.456 -4.862
P W Ru
1 1 1
direct
0.002 0.002 0.000
0.347 0.347 0.000
0.652 0.652 0.000



Entry 4:
GGA-PBE Ac3La8Nd3, optimized geometry; VASP energy = -64.7 eV for the cell shown
1.0
-1.927 -4.033 -3.891
8.269 -3.999 -4.464
-3.507 -7.911 5.423
La Ac Nd
8 3 3
direct
0.164 0.441 0.231
0.164 0.231 0.441
0.836 0.769 0.559
0.658 0.572 0.113
0.342 0.887 0.428
0.342 0.428 0.887
0.836 0.559 0.769
0.658 0.113 0.572
0.814 0.186 0.186
0.500 0.500 0.500
0.186 0.814 0.814
0.000 0.188 0.812
0.500 0.000 0.000
0.000 0.812 0.188



Entry 5:
GGA-PBE FePb3C, optimized geometry; energy above the most stable polymorph in this dataset = 0.000 eV/atom
1.0
-0.627 3.060 3.847
-1.575 -3.799 2.765
4.657 -0.872 1.453
Pb C Fe
3 1 1
direct
0.000 0.000 0.500
0.500 0.000 0.000
0.000 0.500 0.000
0.000 0.000 0.000
0.500 0.500 0.500



Entry 6:
GGA-PBE TbPu4Se6, optimized geometry; raw formation energy = -1.5221 eV per atom
1.0
4.052 0.000 0.000
-2.026 6.839 0.000
0.000 0.000 21.055
Se Pu Tb
12 8 2
direct
0.304 0.607 0.250
0.772 0.543 0.412
0.772 0.543 0.088
0.500 0.000 0.000
0.948 0.895 0.669
0.228 0.457 0.912
0.228 0.457 0.588
0.052 0.105 0.169
0.948 0.895 0.831
0.500 0.000 0.500
0.696 0.393 0.750
0.052 0.105 0.331
0.410 0.819 0.131
0.139 0.278 0.040
0.139 0.278 0.460
0.410 0.819 0.369
0.590 0.181 0.631
0.590 0.181 0.869
0.861 0.722 0.540
0.861 0.722 0.960
0.653 0.305 0.250
0.347 0.695 0.750



Entry 7:
GGA-PBE TlHg2Ir, optimized geometry; energy above the most stable polymorph in this dataset = 0.000 eV/atom
1.0
-1.704 -1.404 -7.006
-3.462 -3.400 -5.515
-3.770 2.476 -1.128
Ir Hg Tl
1 2 1
direct
0.500 0.500 0.500
0.179 0.179 0.321
0.003 0.003 0.997
0.818 0.818 0.682



Entry 8:
GGA-PBE Cs2InSn2, optimized geometry; energy above the most stable polymorph in this dataset = 0.000 eV/atom
1.0
-6.488 3.900 -0.962
0.139 -7.490 -1.033
-1.438 -0.069 9.420
Sn In Cs
4 2 4
direct
0.010 0.793 0.992
0.990 0.207 0.008
0.784 0.793 0.492
0.216 0.207 0.508
0.899 0.000 0.250
0.101 0.000 0.750
0.555 0.315 0.166
0.761 0.315 0.666
0.445 0.685 0.834
0.239 0.685 0.334



Entry 9:
GGA-PBE HIrS2, optimized geometry; energy above the most stable polymorph in this dataset = 0.527 eV/atom
1.0
6.324 0.000 -0.276
2.337 5.913 -1.802
-2.337 5.913 1.802
S H Ir
4 2 2
direct
0.695 0.400 0.304
0.305 0.600 0.696
0.805 0.804 0.900
0.195 0.196 0.100
0.750 0.164 0.664
0.250 0.836 0.336
0.750 0.942 0.442
0.250 0.058 0.558



Entry 10:
GGA-PBE BaMgSn2Ru, optimized geometry; VASP energy = -22.3 eV for the cell shown
1.0
-4.187 -3.047 0.076
2.545 -3.565 -2.762
1.658 -2.172 4.332
Ru Sn Mg Ba
1 2 1 1
direct
0.000 0.000 0.000
0.000 0.500 0.000
0.500 0.000 0.000
0.000 0.000 0.500
0.500 0.500 0.500



Entry 11:
GGA-PBE KTeIr2, optimized geometry; raw formation energy = 0.9020 eV per atom
1.0
5.304 0.000 0.000
1.987 4.918 0.000
-3.646 -2.459 2.966
Ir Te K
2 1 1
direct
0.250 0.750 0.500
0.000 0.000 0.000
0.750 0.250 0.500
0.500 0.500 0.000



Entry 12:
GGA-PBE Tb2AlSi4Rh3, optimized geometry; raw formation energy = -0.9374 eV per atom
1.0
4.074 0.000 0.000
0.000 4.074 0.000
0.000 0.000 10.243
Rh Si Al Tb
3 4 1 2
direct
0.500 0.000 0.877
0.000 0.000 0.500
0.000 0.500 0.123
0.500 0.500 0.000
0.000 0.500 0.354
0.500 0.000 0.646
0.000 0.000 0.000
0.500 0.500 0.500
0.000 0.500 0.758
0.500 0.000 0.242



Entry 13:
GGA-PBE Li5Cd4Bi, optimized geometry; VASP energy = -19.9 eV for the cell shown
1.0
-2.430 0.706 2.306
-0.796 -3.325 0.180
11.064 -1.982 12.264
Li Cd Bi
5 4 1
direct
0.500 0.500 0.886
0.500 0.500 0.308
0.500 0.500 0.500
0.500 0.500 0.692
0.500 0.500 0.114
0.000 0.000 0.406
0.000 0.000 0.782
0.000 0.000 0.218
0.000 0.000 0.594
0.000 0.000 0.000



Entry 14:
GGA-PBE LaCe2ReN5, optimized geometry; raw formation energy = -1.1163 eV per atom
1.0
-5.390 -2.129 -3.439
1.991 -6.384 0.832
-1.320 3.956 6.223
Ce N Re La
4 10 2 2
direct
0.176 0.324 0.000
0.324 0.824 0.000
0.824 0.676 0.000
0.676 0.176 0.000
0.209 0.006 0.715
0.791 0.994 0.285
0.506 0.709 0.715
0.494 0.291 0.285
0.000 0.000 0.000
0.006 0.506 0.715
0.500 0.500 0.000
0.994 0.494 0.285
0.709 0.209 0.715
0.291 0.791 0.285
0.250 0.750 0.500
0.750 0.250 0.500
0.750 0.750 0.500
0.250 0.250 0.500



Entry 15:
GGA-PBE Sc8C3N, optimized geometry; raw formation energy = -0.6767 eV per atom
1.0
6.614 0.000 0.000
-3.307 4.709 -3.266
0.000 -0.024 6.674
C Sc N
3 8 1
direct
0.000 0.500 0.000
0.500 0.500 0.000
0.500 0.000 0.000
0.759 0.518 0.775
0.743 0.486 0.229
0.241 0.482 0.225
0.759 0.016 0.775
0.241 0.984 0.225
0.257 0.016 0.775
0.743 0.984 0.225
0.257 0.514 0.771
0.000 0.000 0.000



Entry 16:
GGA-PBE TbPr2Tm2Th2, optimized geometry; VASP energy = -36.8 eV for the cell shown
1.0
3.479 0.000 0.000
-1.739 8.907 -1.421
0.000 -2.975 8.031
Tb Th Tm Pr
1 2 2 2
direct
0.000 0.000 0.500
0.567 0.133 0.228
0.433 0.867 0.772
0.790 0.580 0.381
0.210 0.420 0.619
0.356 0.712 0.084
0.644 0.288 0.916



Entry 17:
GGA-PBE NbTlVNi2, optimized geometry; VASP energy = -24.6 eV for the cell shown
1.0
-0.651 -4.211 1.610
4.840 -0.588 0.418
-0.166 1.648 4.243
Tl V Nb Ni
1 1 1 2
direct
0.000 0.000 0.000
0.000 0.500 0.000
0.500 0.500 0.500
0.500 0.000 0.000
0.000 0.000 0.500



Entry 18:
GGA-PBE Si8Ir, optimized geometry; raw formation energy = 0.3467 eV per atom
1.0
-3.966 3.966 2.030
3.966 -3.966 2.030
3.966 3.966 -2.030
Si Ir
8 1
direct
0.000 0.667 0.667
0.663 0.663 0.327
0.333 0.000 0.333
0.663 0.337 0.000
0.337 0.663 0.000
0.667 0.000 0.667
0.000 0.333 0.333
0.337 0.337 0.673
0.000 0.000 0.000



Entry 19:
GGA-PBE ScAl2Ir2, optimized geometry; energy above the most stable polymorph in this dataset = 0.000 eV/atom
1.0
-6.105 3.070 2.836
-3.944 -5.892 -2.115
0.532 -1.255 2.503
Al Ir Sc
4 4 2
direct
0.626 0.126 0.000
0.874 0.626 0.000
0.374 0.874 0.000
0.126 0.374 0.000
0.171 0.671 0.500
0.329 0.171 0.500
0.671 0.829 0.500
0.829 0.329 0.500
0.500 0.500 0.000
0.000 0.000 0.000



Entry 20:
GGA-PBE PmPr2Sm5, optimized geometry; energy above the most stable polymorph in this dataset = 0.000 eV/atom
1.0
-0.736 -5.109 -0.123
4.510 -0.786 5.692
-11.304 1.407 9.151
Sm Pr Pm
10 4 2
direct
0.000 0.500 0.250
0.000 0.500 0.500
0.500 0.250 0.875
0.000 0.000 0.750
0.500 0.750 0.125
0.500 0.750 0.625
0.000 0.500 0.750
0.000 0.000 0.250
0.000 0.000 0.000
0.500 0.250 0.375
0.500 0.750 0.375
0.500 0.250 0.125
0.500 0.250 0.625
0.500 0.750 0.875
0.000 0.500 0.000
0.000 0.000 0.500